Entry 1:
Compound: HfClF3
Source: Alexandria
Functional: PBE
Structure: optimized geometry

Cell: 4.394 4.394 4.394 Å, 90.00 90.00 90.00°
Space group Pm-3m (No. 221)
Inequivalent atoms, fractional coordinates:
Hf 0.000 0.000 0.000 x1
Cl 0.500 0.500 0.500 x1
F 0.000 0.500 0.500 x3

## Properties
Excess energy over the best structure of this formula in the dataset ... 1533 kJ/mol of formula units
Size of the total moment ... 0.00 μB/f.u.

Entry 2:
Compound: HfClF2
Source: Alexandria
Functional: PBE
Structure: optimized geometry

Cell: 2.9421 2.9421 29.2795 Å, 90.00 90.00 120.00°
Space group R-3m (No. 166, hexagonal axes)
Inequivalent atoms, fractional coordinates:
Hf 0.0000 0.0000 0.0000 x3
Cl 0.0000 0.0000 0.5000 x3
F 0.0000 0.0000 0.3837 x6

## Properties
Excess energy over the best structure of this formula in the dataset ... 176 kJ/mol of formula units
Size of the total moment ... 0.08 μB/f.u.

Entry 3:
Compound: HfCl3F
Source: Alexandria
Functional: PBE
Structure: optimized geometry

Cell: 4.585 4.585 4.585 Å, 90.00 90.00 90.00°
Space group Pm-3m (No. 221)
Inequivalent atoms, fractional coordinates:
Hf 0.000 0.000 0.000 x1
Cl 0.000 0.500 0.500 x3
F 0.500 0.500 0.500 x1

## Properties
Excess energy over the best structure of this formula in the dataset ... 1179 kJ/mol of formula units
Size of the total moment ... 0.00 μB/f.u.

Entry 4:
Compound: HfCl2F
Source: Alexandria
Functional: PBE
Structure: optimized geometry

Cell: 3.6018 3.6018 25.3612 Å, 90.00 90.00 120.00°
Space group R-3m (No. 166, hexagonal axes)
Inequivalent atoms, fractional coordinates:
Hf 0.0000 0.0000 0.0000 x3
Cl 0.0000 0.0000 0.0900 x6
F 0.0000 0.0000 0.5000 x3

## Properties
Excess energy over the best structure of this formula in the dataset ... 585 kJ/mol of formula units
Size of the total moment ... 0.71 μB/f.u.

Entry 5:
Compound: Hf2ClF
Source: Alexandria
Functional: PBE
Structure: optimized geometry

Cell: 6.386 6.386 6.386 Å, 90.00 90.00 90.00°
Space group Fm-3m (No. 225)
Inequivalent atoms, fractional coordinates:
Hf 0.250 0.250 0.250 x8
Cl 0.000 0.000 0.000 x4
F 0.000 0.000 0.500 x4

## Properties
Excess energy over the best structure of this formula in the dataset ... 58 kJ/mol of formula units
Size of the total moment ... 0.00 μB/f.u.

Entry 6:
Compound: Hf2ClF
Source: Alexandria
Functional: PBE
Structure: optimized geometry

Cell: 5.634 5.634 9.933 Å, 90.00 90.00 90.00°
Space group I-42d (No. 122)
Inequivalent atoms, fractional coordinates:
Hf 0.203 0.250 0.125 x8
Cl 0.000 0.000 0.500 x4
F 0.000 0.000 0.000 x4

## Properties
Excess energy over the best structure of this formula in the dataset ... 0 kJ/mol of formula units
Size of the total moment ... 0.00 μB/f.u.

Entry 7:
Compound: HfClF3
Source: Alexandria
Functional: PBE
Structure: optimized geometry

Cell: 10.977 6.730 5.386 Å, 90.00 95.13 90.00°
Space group C2/m (No. 12)
Inequivalent atoms, fractional coordinates:
Hf 0.000 0.000 0.000 x2
Hf 0.000 0.500 0.000 x2
Cl 0.152 0.000 0.714 x4
F 0.083 0.249 0.174 x8
F 0.118 0.500 0.756 x4

## Properties
Excess energy over the best structure of this formula in the dataset ... 20 kJ/mol of formula units
Size of the total moment ... 0.00 μB/f.u.

Entry 8:
Compound: HfCl3F
Source: Alexandria
Functional: PBE
Structure: optimized geometry

Cell: 5.820 6.735 7.068 Å, 90.00 89.71 89.94°
Space group P1 (No. 1)
Inequivalent atoms, fractional coordinates:
Hf 0.000 0.000 0.000 x1
Hf 0.500 0.003 0.500 x1
Cl 0.188 0.310 0.990 x1
Cl 0.233 0.833 0.240 x1
Cl 0.234 0.835 0.750 x1
Cl 0.689 0.693 0.490 x1
Cl 0.733 0.169 0.250 x1
Cl 0.733 0.170 0.740 x1
F 0.270 0.206 0.490 x1
F 0.771 0.797 0.990 x1

## Properties
Excess energy over the best structure of this formula in the dataset ... 0 kJ/mol of formula units
Size of the total moment ... 0.00 μB/f.u.

Entry 9:
Compound: HfCl2F
Source: Alexandria
Functional: PBE
Structure: optimized geometry

Cell: 3.4163 3.4163 23.3342 Å, 90.00 90.00 120.00°
Space group R-3m (No. 166, hexagonal axes)
Inequivalent atoms, fractional coordinates:
Hf 0.0000 0.0000 0.0000 x3
Cl 0.0000 0.0000 0.4031 x6
F 0.0000 0.0000 0.5000 x3

## Properties
Excess energy over the best structure of this formula in the dataset ... 345 kJ/mol of formula units
Size of the total moment ... 0.00 μB/f.u.

Entry 10:
Compound: HfClF3
Source: Alexandria
Functional: PBE
Structure: optimized geometry

Cell: 4.139 4.139 4.139 Å, 90.00 90.00 90.00°
Space group Pm-3m (No. 221)
Inequivalent atoms, fractional coordinates:
Hf 0.000 0.000 0.000 x1
Cl 0.500 0.500 0.500 x1
F 0.000 0.000 0.500 x3

## Properties
Excess energy over the best structure of this formula in the dataset ... 124 kJ/mol of formula units
Size of the total moment ... 0.00 μB/f.u.

Entry 11:
Compound: HfClF3
Source: Alexandria
Functional: PBE
Structure: optimized geometry

Cell: 6.173 4.860 5.123 Å, 90.00 90.00 90.00°
Space group Pmn2_1 (No. 31)
Inequivalent atoms, fractional coordinates:
Hf 0.000 0.092 0.000 x2
Cl 0.000 0.594 0.807 x2
F 0.000 0.320 0.299 x2
F 0.242 0.902 0.242 x4

## Properties
Excess energy over the best structure of this formula in the dataset ... 0 kJ/mol of formula units
Size of the total moment ... 0.00 μB/f.u.

Entry 12:
Compound: Hf3ClF
Source: Alexandria
Functional: PBE
Structure: optimized geometry

Cell: 4.586 4.586 4.586 Å, 90.00 90.00 90.00°
Space group Pm-3m (No. 221)
Inequivalent atoms, fractional coordinates:
Hf 0.000 0.000 0.500 x3
Cl 0.500 0.500 0.500 x1
F 0.000 0.000 0.000 x1

## Properties
Excess energy over the best structure of this formula in the dataset ... 0 kJ/mol of formula units
Size of the total moment ... 0.00 μB/f.u.

Entry 13:
Compound: HfCl3F
Source: Alexandria
Functional: PBE
Structure: optimized geometry

Cell: 4.883 4.883 4.883 Å, 90.00 90.00 90.00°
Space group Pm-3m (No. 221)
Inequivalent atoms, fractional coordinates:
Hf 0.000 0.000 0.000 x1
Cl 0.000 0.000 0.500 x3
F 0.500 0.500 0.500 x1

## Properties
Excess energy over the best structure of this formula in the dataset ... 380 kJ/mol of formula units
Size of the total moment ... 0.21 μB/f.u.

Entry 14:
Compound: HfCl2F
Source: Alexandria
Functional: PBE
Structure: optimized geometry

Cell: 9.351 9.351 4.162 Å, 90.00 90.00 90.00°
Space group I-42d (No. 122)
Inequivalent atoms, fractional coordinates:
Hf 0.000 0.000 0.000 x4
Cl 0.090 0.250 0.125 x8
F 0.000 0.000 0.500 x4

## Properties
Excess energy over the best structure of this formula in the dataset ... 0 kJ/mol of formula units
Size of the total moment ... 1.00 μB/f.u.

Entry 15:
Compound: HfClF2
Source: Alexandria
Functional: PBE
Structure: optimized geometry

Cell: 4.444 4.444 13.794 Å, 90.00 90.00 90.00°
Space group I-42d (No. 122)
Inequivalent atoms, fractional coordinates:
Hf 0.000 0.000 0.000 x4
Cl 0.000 0.000 0.500 x4
F 0.045 0.250 0.125 x8

## Properties
Excess energy over the best structure of this formula in the dataset ... 0 kJ/mol of formula units
Size of the total moment ... 0.59 μB/f.u.

Entry 16:
Compound: HfIn2Cl4F2
Source: Alexandria
Functional: PBE
Structure: optimized geometry

Cell: 11.807 7.422 5.823 Å, 90.00 103.72 90.00°
Space group C2/m (No. 12)
Inequivalent atoms, fractional coordinates:
Hf 0.000 0.000 0.000 x2
In 0.211 0.500 0.300 x4
Cl 0.099 0.237 0.818 x8
F 0.133 0.000 0.281 x4

## Properties
Energy ... -4.8770 eV per atom
Size of the total moment ... 0.00 μB/f.u.

Entry 17:
Compound: HfIn2Cl2F4
Source: Alexandria
Functional: PBE
Structure: optimized geometry

Cell: 12.977 6.005 5.407 Å, 90.00 94.90 90.00°
Space group C2/m (No. 12)
Inequivalent atoms, fractional coordinates:
Hf 0.000 0.000 0.000 x2
In 0.142 0.500 0.572 x4
Cl 0.177 0.000 0.852 x4
F 0.042 0.239 0.246 x8

## Properties
Energy ... -5.3706 eV per atom
Size of the total moment ... 0.00 μB/f.u.